# 1
A relaxed AcLaMgHg crystal, computed with PBE.

Unit cell a=4.0207 b=4.0207 c=7.9630 alpha=90.00 beta=90.00 gamma=90.00
Space group P4mm (No. 99)
Inequivalent atoms, fractional coordinates:
Ac 0.0000 0.0000 0.0000 x1
La 0.0000 0.0000 0.5063 x1
Mg 0.5000 0.5000 0.2674 x1
Hg 0.5000 0.5000 0.7327 x1

Calculated values
Electronic total energy = -3.0184 eV/atom
ΔE to the lowest computed polymorph = 0.00 kcal/mol of atoms
Energy relative to the elements = -0.285 eV per atom
Crystal system = tetragonal
Magnetization = 0.00 μB/cell



# 2
A relaxed AcLa2MgHg4 crystal, computed with PBE.

Unit cell a=5.3580 b=5.3580 c=28.1829 alpha=90.00 beta=90.00 gamma=120.00
Space group R-3m (No. 166, hexagonal axes)
Inequivalent atoms, fractional coordinates:
Ac 0.0000 0.0000 0.0000 x3
La 0.0000 0.0000 0.2399 x6
Mg 0.0000 0.0000 0.5000 x3
Hg 0.0000 0.0000 0.1266 x6
Hg 0.0000 0.0000 0.3820 x6

Calculated values
Electronic total energy = -2.5512 eV/atom
Energy relative to the elements = -0.456 eV per atom
Crystal system = trigonal
Magnetization = 0.00 μB/cell



# 3
A relaxed AcLaMgHg crystal, computed with PBE.

Unit cell a=8.0079 b=8.0079 c=8.0079 alpha=90.00 beta=90.00 gamma=90.00
Space group F-43m (No. 216)
Inequivalent atoms, fractional coordinates:
Ac 0.0000 0.0000 0.0000 x4
La 0.0000 0.0000 0.5000 x4
Mg 0.2500 0.2500 0.7500 x4
Hg 0.2500 0.2500 0.2500 x4

Calculated values
Electronic total energy = -2.9921 eV/atom
ΔE to the lowest computed polymorph = 0.60 kcal/mol of atoms
Energy relative to the elements = -0.259 eV per atom
Crystal system = cubic
Magnetization = 0.01 μB/cell



# 4
A relaxed AcLa2HgN crystal, computed with PBE.

Unit cell a=5.1159 b=5.1159 c=5.3376 alpha=90.00 beta=90.00 gamma=90.00
Space group P4/mmm (No. 123)
Inequivalent atoms, fractional coordinates:
Ac 0.0000 0.0000 0.0000 x1
La 0.0000 0.5000 0.5000 x2
Hg 0.5000 0.5000 0.0000 x1
N 0.0000 0.0000 0.5000 x1

Calculated values
Electronic total energy = -5.2437 eV/atom
E_form (uncorrected) = -0.73 eV/atom
Crystal system = tetragonal
Magnetization = 0.00 μB/cell



# 5
A relaxed Ac3LaHg2N crystal, computed with PBE.

Unit cell a=5.2077 b=5.3433 c=16.0320 alpha=90.00 beta=90.00 gamma=90.00
Space group Immm (No. 71)
Inequivalent atoms, fractional coordinates:
Ac 0.0000 0.0000 0.0000 x2
Ac 0.0000 0.5000 0.1703 x4
La 0.0000 0.0000 0.5000 x2
Hg 0.0000 0.5000 0.3715 x4
N 0.0000 0.5000 0.0000 x2

Calculated values
Electronic total energy = -4.3551 eV/atom
E_form (uncorrected) = -0.61 eV/atom
Crystal system = orthorhombic
Magnetization = 0.00 μB/cell



# 6
A relaxed AcLaHgN crystal, computed with PBE.

Unit cell a=3.9538 b=4.0628 c=14.2127 alpha=90.00 beta=90.00 gamma=90.00
Space group Imm2 (No. 44)
Inequivalent atoms, fractional coordinates:
Ac 0.0000 0.0000 0.0000 x2
La 0.0000 0.0000 0.3071 x2
Hg 0.0000 0.0000 0.6571 x2
N 0.0000 0.5000 0.8986 x2

Calculated values
Electronic total energy = -5.2376 eV/atom
E_form (uncorrected) = -0.82 eV/atom
Crystal system = orthorhombic
Magnetization = 1.01 μB/cell



# 7
A relaxed Ac2La4Hg3N2 crystal, computed with PBE.

Unit cell a=5.0197 b=5.0197 c=26.0321 alpha=90.00 beta=90.00 gamma=90.00
Space group I4/mmm (No. 139)
Inequivalent atoms, fractional coordinates:
Ac 0.0000 0.0000 0.1989 x4
La 0.0000 0.5000 0.0853 x8
Hg 0.0000 0.0000 0.3286 x4
Hg 0.0000 0.0000 0.5000 x2
N 0.0000 0.0000 0.1056 x4

Calculated values
Electronic total energy = -4.8323 eV/atom
E_form (uncorrected) = -0.70 eV/atom
Crystal system = tetragonal
Magnetization = 0.00 μB/cell



# 8
A relaxed Ac3La4Hg3N2 crystal, computed with PBE.

Unit cell a=5.1945 b=5.3622 c=25.7971 alpha=90.00 beta=90.00 gamma=90.00
Space group Immm (No. 71)
Inequivalent atoms, fractional coordinates:
Ac 0.0000 0.0000 0.0000 x2
Ac 0.0000 0.5000 0.0985 x4
La 0.0000 0.0000 0.2000 x4
La 0.0000 0.5000 0.3995 x4
Hg 0.0000 0.0000 0.3228 x4
Hg 0.0000 0.0000 0.5000 x2
N 0.0000 0.0000 0.1065 x4

Calculated values
Electronic total energy = -4.7749 eV/atom
E_form (uncorrected) = -0.64 eV/atom
Crystal system = orthorhombic
Magnetization = 0.00 μB/cell



# 9
A relaxed NaAcLaHg crystal, computed with PBE.

Unit cell a=8.0948 b=8.0948 c=8.0948 alpha=90.00 beta=90.00 gamma=90.00
Space group F-43m (No. 216)
Inequivalent atoms, fractional coordinates:
Na 0.0000 0.0000 0.0000 x4
Ac 0.2500 0.2500 0.7500 x4
La 0.2500 0.2500 0.2500 x4
Hg 0.0000 0.0000 0.5000 x4

Calculated values
Electronic total energy = -2.7595 eV/atom
Energy relative to the elements = -0.095 eV per atom
Crystal system = cubic
Magnetization = 2.11 μB/cell



# 10
A relaxed Ac2La4Hg3O2 crystal, computed with PBE.

Unit cell a=5.0565 b=5.0565 c=25.2338 alpha=90.00 beta=90.00 gamma=90.00
Space group I4/mmm (No. 139)
Inequivalent atoms, fractional coordinates:
Ac 0.0000 0.0000 0.2020 x4
La 0.0000 0.5000 0.0841 x8
Hg 0.0000 0.0000 0.3315 x4
Hg 0.0000 0.0000 0.5000 x2
O 0.0000 0.0000 0.1027 x4

Calculated values
Electronic total energy = -4.7822 eV/atom
E_form (uncorrected) = -1.26 eV/atom
Crystal system = tetragonal
Magnetization = 0.00 μB/cell



# 11
A relaxed Ac2La2Hg2Os crystal, computed with PBE.

Unit cell a=15.8195 b=4.2512 c=7.6413 alpha=90.00 beta=111.68 gamma=90.00
Space group C2/m (No. 12)
Inequivalent atoms, fractional coordinates:
Ac 0.2018 0.0000 0.1949 x4
La 0.0186 0.5000 0.7697 x4
Hg 0.1247 0.0000 0.5690 x4
Os 0.0000 0.0000 0.0000 x2

Calculated values
Electronic total energy = -4.5775 eV/atom
Energy relative to the elements = -0.305 eV per atom
Crystal system = monoclinic
Magnetization = 0.00 μB/cell



# 12
A relaxed AcLa2Hg2Pb2 crystal, computed with PBE.

Unit cell a=5.1933 b=5.1933 c=29.0055 alpha=90.00 beta=90.00 gamma=120.00
Space group R-3m (No. 166, hexagonal axes)
Inequivalent atoms, fractional coordinates:
Ac 0.0000 0.0000 0.0000 x3
La 0.0000 0.0000 0.1335 x6
Hg 0.0000 0.0000 0.4335 x6
Pb 0.0000 0.0000 0.2683 x6

Calculated values
Electronic total energy = -3.4847 eV/atom
Energy relative to the elements = -0.344 eV per atom
Crystal system = trigonal
Magnetization = 0.00 μB/cell



# 13
A relaxed AcLaHgPb crystal, computed with PBE.

Unit cell a=8.0796 b=8.0796 c=8.0796 alpha=90.00 beta=90.00 gamma=90.00
Space group F-43m (No. 216)
Inequivalent atoms, fractional coordinates:
Ac 0.0000 0.0000 0.0000 x4
La 0.0000 0.0000 0.5000 x4
Hg 0.2500 0.2500 0.7500 x4
Pb 0.2500 0.2500 0.2500 x4

Calculated values
Electronic total energy = -3.7708 eV/atom
ΔE to the lowest computed polymorph = 0.00 kcal/mol of atoms
Energy relative to the elements = -0.509 eV per atom
Crystal system = cubic
Magnetization = 0.00 μB/cell